Material: Si2HgAs
Method: DFT, PBE
State: relaxed

Unit cell a=3.8953 b=3.8953 c=5.1489 alpha=90.00 beta=90.00 gamma=90.00
Space group P4/mmm (No. 123)
Symmetry-distinct sites (fractional):
Si1 0.0000 0.5000 0.0000 [2 per cell]
Hg1 0.0000 0.0000 0.5000 [1 per cell]
As1 0.5000 0.5000 0.5000 [1 per cell]

Output
Fermi-level density of states	1.82	states/eV/f.u.
energy	-3.324	eV/atom